PBE LuNpOs4, optimized geometry; energy of formation from the pure elements = -0.15 eV per atom; uncorrected energy = -10.550 eV per atom
1.0
0.000 3.763 3.763
3.763 0.000 3.763
3.763 3.763 0.000
Lu Np Os
1 1 4
Cartesian
0.000 0.000 0.000
5.645 5.645 5.645
2.821 2.821 2.821
4.705 4.705 2.821
4.705 2.821 4.705
2.821 4.705 4.705